[1]
# La2CuSn4Ir PBE optimized geometry
data_La2CuSn4Ir
_symmetry_space_group_name_H-M 'A m m 2'
_symmetry_Int_Tables_number 38
_cell_length_a 4.692
_cell_length_b 4.541
_cell_length_c 18.873
_cell_angle_alpha 90.00
_cell_angle_beta 90.00
_cell_angle_gamma 90.00
loop_
_symmetry_equiv_pos_as_xyz
'x,y,z'
'-x,-y,z'
'-x,y,z'
'x,-y,z'
'x,y+1/2,z+1/2'
'-x,-y+1/2,z+1/2'
'-x,y+1/2,z+1/2'
'x,-y+1/2,z+1/2'
loop_
_atom_site_label
_atom_site_type_symbol
_atom_site_fract_x
_atom_site_fract_y
_atom_site_fract_z
La1 La 0.000 0.000 0.000
La2 La 0.500 0.000 0.223
Cu1 Cu 0.000 0.000 0.783
Sn1 Sn 0.000 0.000 0.359
Sn2 Sn 0.000 0.000 0.650
Sn3 Sn 0.500 0.000 0.565
Sn4 Sn 0.500 0.000 0.855
Ir1 Ir 0.500 0.000 0.428
# Size of the total moment in μB per formula unit: 0.0
# Crystal system: orthorhombic
# Raw total energy in eV/atom: -5.4200


[2]
# LaCuSn2Ir PBE optimized geometry
data_LaCuSn2Ir
_symmetry_space_group_name_H-M 'P 4/n m m'
_symmetry_Int_Tables_number 129
_cell_length_a 4.467
_cell_length_b 4.467
_cell_length_c 10.892
_cell_angle_alpha 90.00
_cell_angle_beta 90.00
_cell_angle_gamma 90.00
loop_
_symmetry_equiv_pos_as_xyz
'x,y,z'
'-x,-y,-z'
'-y+1/2,x,z'
'y+1/2,-x,-z'
'-x+1/2,-y+1/2,z'
'x+1/2,y+1/2,-z'
'y,-x+1/2,z'
'-y,x+1/2,-z'
'x+1/2,-y,-z'
'-x+1/2,y,z'
'-y,-x,-z'
'y,x,z'
'-x,y+1/2,-z'
'x,-y+1/2,z'
'y+1/2,x+1/2,-z'
'-y+1/2,-x+1/2,z'
loop_
_atom_site_label
_atom_site_type_symbol
_atom_site_fract_x
_atom_site_fract_y
_atom_site_fract_z
La1 La 0.250 0.250 0.239
Cu1 Cu 0.250 0.250 0.634
Sn1 Sn 0.250 0.250 0.866
Sn2 Sn 0.250 0.750 0.500
Ir1 Ir 0.250 0.750 0.000
# Size of the total moment in μB per formula unit: 0.0
# Crystal system: tetragonal
# Raw total energy in eV/atom: -5.6258


[3]
# LaTaCuIr PBE optimized geometry
data_LaTaCuIr
_symmetry_space_group_name_H-M 'F -4 3 m'
_symmetry_Int_Tables_number 216
_symmetry_space_group_name_Hall 'F -4 2 3'
_cell_length_a 6.571
_cell_length_b 6.571
_cell_length_c 6.571
_cell_angle_alpha 90.00
_cell_angle_beta 90.00
_cell_angle_gamma 90.00
loop_
_atom_site_label
_atom_site_type_symbol
_atom_site_fract_x
_atom_site_fract_y
_atom_site_fract_z
La1 La 0.000 0.000 0.000
Ta1 Ta 0.250 0.250 0.250
Cu1 Cu 0.000 0.000 0.500
Ir1 Ir 0.250 0.250 0.750
# Size of the total moment in μB per formula unit: 0.0
# ΔE_f in eV/atom: 0.323
# Crystal system: cubic


[4]
# LaTaCuIr PBE optimized geometry
data_LaTaCuIr
_symmetry_space_group_name_H-M 'F -4 3 m'
_symmetry_Int_Tables_number 216
_symmetry_space_group_name_Hall 'F -4 2 3'
_cell_length_a 6.599
_cell_length_b 6.599
_cell_length_c 6.599
_cell_angle_alpha 90.00
_cell_angle_beta 90.00
_cell_angle_gamma 90.00
loop_
_atom_site_label
_atom_site_type_symbol
_atom_site_fract_x
_atom_site_fract_y
_atom_site_fract_z
La1 La 0.000 0.000 0.000
Ta1 Ta 0.250 0.250 0.250
Cu1 Cu 0.250 0.250 0.750
Ir1 Ir 0.000 0.000 0.500
# Size of the total moment in μB per formula unit: 0.0
# ΔE_f in eV/atom: 0.033
# Crystal system: cubic


[5]
# LaTaCuIr PBE optimized geometry
data_LaTaCuIr
_symmetry_space_group_name_H-M 'F -4 3 m'
_symmetry_Int_Tables_number 216
_symmetry_space_group_name_Hall 'F -4 2 3'
_cell_length_a 6.771
_cell_length_b 6.771
_cell_length_c 6.771
_cell_angle_alpha 90.00
_cell_angle_beta 90.00
_cell_angle_gamma 90.00
loop_
_atom_site_label
_atom_site_type_symbol
_atom_site_fract_x
_atom_site_fract_y
_atom_site_fract_z
La1 La 0.000 0.000 0.000
Ta1 Ta 0.000 0.000 0.500
Cu1 Cu 0.250 0.250 0.750
Ir1 Ir 0.250 0.250 0.250
# Size of the total moment in μB per formula unit: 0.1
# ΔE_f in eV/atom: 0.093
# Crystal system: cubic


[6]
# LiLu4CuIr2 PBE optimized geometry
data_LiLu4CuIr2
_symmetry_space_group_name_H-M 'P 4/m m m'
_symmetry_Int_Tables_number 123
_symmetry_space_group_name_Hall '-P 4 2'
_cell_length_a 4.785
_cell_length_b 4.785
_cell_length_c 6.745
_cell_angle_alpha 90.00
_cell_angle_beta 90.00
_cell_angle_gamma 90.00
loop_
_atom_site_label
_atom_site_type_symbol
_atom_site_fract_x
_atom_site_fract_y
_atom_site_fract_z
Li1 Li 0.000 0.000 0.000
Lu1 Lu 0.000 0.500 0.253
Cu1 Cu 0.500 0.500 0.500
Ir1 Ir 0.000 0.000 0.500
Ir2 Ir 0.500 0.500 0.000
# Size of the total moment in μB per formula unit: 0.0
# Crystal system: tetragonal
# Raw total energy in eV/atom: -5.8526


[7]
# Li2Mg2CuSn2Ir PBE optimized geometry
data_Li2Mg2CuSn2Ir
_symmetry_space_group_name_H-M 'P -4 m 2'
_symmetry_Int_Tables_number 115
_cell_length_a 4.537
_cell_length_b 4.537
_cell_length_c 6.409
_cell_angle_alpha 90.00
_cell_angle_beta 90.00
_cell_angle_gamma 90.00
loop_
_symmetry_equiv_pos_as_xyz
'x,y,z'
'y,-x,-z'
'-x,-y,z'
'-y,x,-z'
'-x,y,z'
'-y,-x,-z'
'x,-y,z'
'y,x,-z'
loop_
_atom_site_label
_atom_site_type_symbol
_atom_site_fract_x
_atom_site_fract_y
_atom_site_fract_z
Li1 Li 0.000 0.000 0.000
Li2 Li 0.500 0.500 0.500
Mg1 Mg 0.000 0.500 0.245
Cu1 Cu 0.000 0.000 0.500
Sn1 Sn 0.000 0.500 0.751
Ir1 Ir 0.500 0.500 0.000
# Size of the total moment in μB per formula unit: 0.0
# Crystal system: tetragonal
# Raw total energy in eV/atom: -3.8001


[8]
# LiCuReIr PBE optimized geometry
data_LiCuReIr
_symmetry_space_group_name_H-M 'F -4 3 m'
_symmetry_Int_Tables_number 216
_symmetry_space_group_name_Hall 'F -4 2 3'
_cell_length_a 5.867
_cell_length_b 5.867
_cell_length_c 5.867
_cell_angle_alpha 90.00
_cell_angle_beta 90.00
_cell_angle_gamma 90.00
loop_
_atom_site_label
_atom_site_type_symbol
_atom_site_fract_x
_atom_site_fract_y
_atom_site_fract_z
Li1 Li 0.000 0.000 0.000
Cu1 Cu 0.000 0.000 0.500
Re1 Re 0.250 0.250 0.250
Ir1 Ir 0.250 0.250 0.750
# Size of the total moment in μB per formula unit: 0.1
# Crystal system: cubic
# Raw total energy in eV/atom: -6.2534


[9]
# LiCuReIr PBE optimized geometry
data_LiCuReIr
_symmetry_space_group_name_H-M 'F -4 3 m'
_symmetry_Int_Tables_number 216
_symmetry_space_group_name_Hall 'F -4 2 3'
_cell_length_a 5.939
_cell_length_b 5.939
_cell_length_c 5.939
_cell_angle_alpha 90.00
_cell_angle_beta 90.00
_cell_angle_gamma 90.00
loop_
_atom_site_label
_atom_site_type_symbol
_atom_site_fract_x
_atom_site_fract_y
_atom_site_fract_z
Li1 Li 0.000 0.000 0.000
Cu1 Cu 0.250 0.250 0.750
Re1 Re 0.250 0.250 0.250
Ir1 Ir 0.000 0.000 0.500
# Size of the total moment in μB per formula unit: 0.0
# Crystal system: cubic
# Raw total energy in eV/atom: -6.6827


[10]
# LiCuIr2S4 PBE optimized geometry
data_LiCuIr2S4
_symmetry_space_group_name_H-M 'I -4'
_symmetry_Int_Tables_number 82
_cell_length_a 5.335
_cell_length_b 5.335
_cell_length_c 10.637
_cell_angle_alpha 90.00
_cell_angle_beta 90.00
_cell_angle_gamma 90.00
loop_
_symmetry_equiv_pos_as_xyz
'x,y,z'
'y,-x,-z'
'-x,-y,z'
'-y,x,-z'
'x+1/2,y+1/2,z+1/2'
'y+1/2,-x+1/2,-z+1/2'
'-x+1/2,-y+1/2,z+1/2'
'-y+1/2,x+1/2,-z+1/2'
loop_
_atom_site_label
_atom_site_type_symbol
_atom_site_fract_x
_atom_site_fract_y
_atom_site_fract_z
Li1 Li 0.000 0.000 0.000
Cu1 Cu 0.000 0.500 0.250
Ir1 Ir 0.000 0.000 0.500
Ir2 Ir 0.000 0.500 0.750
S1 S 0.234 0.762 0.631
# Size of the total moment in μB per formula unit: 0.0
# Crystal system: tetragonal
# Raw total energy in eV/atom: -5.2413


[11]
# LiCuIrSe3 PBE optimized geometry
data_LiCuIrSe3
_symmetry_space_group_name_H-M 'C m c m'
_symmetry_Int_Tables_number 63
_symmetry_space_group_name_Hall '-C 2c 2'
_cell_length_a 3.709
_cell_length_b 12.362
_cell_length_c 9.512
_cell_angle_alpha 90.00
_cell_angle_beta 90.00
_cell_angle_gamma 90.00
loop_
_atom_site_label
_atom_site_type_symbol
_atom_site_fract_x
_atom_site_fract_y
_atom_site_fract_z
Li1 Li 0.000 0.228 0.250
Cu1 Cu 0.000 0.459 0.750
Ir1 Ir 0.000 0.000 0.000
Se1 Se 0.000 0.087 0.750
Se2 Se 0.000 0.361 0.535
# Size of the total moment in μB per formula unit: 0.0
# Crystal system: orthorhombic
# Raw total energy in eV/atom: -4.4953


[12]
# LiCuTeIrSe2 PBE optimized geometry
data_LiCuTeIrSe2
_symmetry_space_group_name_H-M 'C m c m'
_symmetry_Int_Tables_number 63
_symmetry_space_group_name_Hall '-C 2c 2'
_cell_length_a 3.712
_cell_length_b 12.819
_cell_length_c 9.832
_cell_angle_alpha 90.00
_cell_angle_beta 90.00
_cell_angle_gamma 90.00
loop_
_atom_site_label
_atom_site_type_symbol
_atom_site_fract_x
_atom_site_fract_y
_atom_site_fract_z
Li1 Li 0.000 0.214 0.250
Cu1 Cu 0.000 0.452 0.750
Te1 Te 0.000 0.096 0.750
Ir1 Ir 0.000 0.000 0.000
Se1 Se 0.000 0.366 0.538
# Size of the total moment in μB per formula unit: 0.0
# Crystal system: orthorhombic
# Raw total energy in eV/atom: -4.4172


[13]
# Li4CuSi2Ir PBE optimized geometry
data_Li4CuSi2Ir
_symmetry_space_group_name_H-M 'P -4 m 2'
_symmetry_Int_Tables_number 115
_cell_length_a 4.128
_cell_length_b 4.128
_cell_length_c 5.762
_cell_angle_alpha 90.00
_cell_angle_beta 90.00
_cell_angle_gamma 90.00
loop_
_symmetry_equiv_pos_as_xyz
'x,y,z'
'y,-x,-z'
'-x,-y,z'
'-y,x,-z'
'-x,y,z'
'-y,-x,-z'
'x,-y,z'
'y,x,-z'
loop_
_atom_site_label
_atom_site_type_symbol
_atom_site_fract_x
_atom_site_fract_y
_atom_site_fract_z
Li1 Li 0.000 0.000 0.000
Li2 Li 0.000 0.500 0.735
Li3 Li 0.500 0.500 0.500
Cu1 Cu 0.000 0.000 0.500
Si1 Si 0.000 0.500 0.236
Ir1 Ir 0.500 0.500 0.000
# Size of the total moment in μB per formula unit: 0.0
# Crystal system: tetragonal
# Raw total energy in eV/atom: -4.2860